# 1
{"formula": "VPb3Br", "functional": "PBE", "state": "relaxed", "polymorph_energy_ev_per_atom": 0.0000, "formation_energy_uncorrected_ev_per_atom": 0.125, "lattice_angstrom": [[-4.796, -0.724, -2.205], [-1.760, -2.165, 4.539], [-1.512, 4.814, 1.710]], "species": ["Pb", "Pb", "Pb", "V", "Br"], "fractional_positions": [[0.000, 0.000, 0.500], [0.500, 0.000, 0.000], [0.000, 0.500, 0.000], [0.000, 0.000, 0.000], [0.500, 0.500, 0.500]]}

---

# 2
{"formula": "YSc2SiIr", "functional": "PBE", "state": "relaxed", "formation_energy_uncorrected_ev_per_atom": -0.250, "lattice_angstrom": [[5.092, 0.000, 0.000], [0.000, 4.625, 0.000], [0.000, 0.000, 5.092]], "species": ["Y", "Sc", "Sc", "Si", "Ir"], "fractional_positions": [[0.500, 0.500, 0.500], [0.500, 0.000, 0.000], [0.000, 0.000, 0.500], [0.000, 0.500, 0.000], [0.000, 0.000, 0.000]]}